A geometry-optimized Nd2Er3Zn3 structure, computed with PBE.

Unit cell a=11.321 b=11.321 c=11.321 alpha=161.49 beta=153.88 gamma=32.20
Sites, in units of the cell vectors:
Nd 0.227 0.227 0.000
Nd 0.773 0.773 0.000
Er 0.000 0.000 0.000
Er 0.386 0.886 0.500
Er 0.614 0.114 0.500
Zn 0.110 0.610 0.500
Zn 0.500 0.500 0.000
Zn 0.890 0.390 0.500

Output
E_tot: -3.61 eV per atom
DFT formation energy: -176 kJ/mol of formula units